Density functional theory data (PBE-GGA) for an optimized crystal structure of Cs2LiS2.

Values from the calculation:
As for the calculated volume: 322.6 Å³ per cell. For the formation energy (no corrections), the calculation gives -14.84 kcal/mol of atoms. The total energy comes out at -3.019 eV per atom.

```
data_Cs2LiS2
_cell_length_a 7.786
_cell_length_b 7.786
_cell_length_c 5.321
_cell_angle_alpha 90.00
_cell_angle_beta 90.00
_cell_angle_gamma 90.00
_space_group_name_H-M_alt 'P 4/m b m'
_space_group_IT_number 127
_space_group_name_Hall '-P 4 2ab'
loop_
_atom_site_label
_atom_site_type_symbol
_atom_site_fract_x
_atom_site_fract_y
_atom_site_fract_z
Cs1 Cs 0.160 0.340 0.000
Li1 Li 0.000 0.000 0.500
S1 S 0.149 0.649 0.500
```


Density functional theory data (PBE-GGA) for an optimized crystal structure of CsLiS2.

Values from the calculation:
As for the calculated volume: 441.1 Å³ per cell. For the formation energy (no corrections), the calculation gives -19.48 kcal/mol of atoms. The total energy comes out at -3.600 eV per atom.

```
data_CsLiS2
_cell_length_a 5.215
_cell_length_b 5.215
_cell_length_c 16.219
_cell_angle_alpha 90.00
_cell_angle_beta 90.00
_cell_angle_gamma 90.00
_space_group_name_H-M_alt 'I 41/a m d'
_space_group_IT_number 141
loop_
_space_group_symop_operation_xyz
'x,y,z'
'-x,-y,-z'
'-y+1/4,x+3/4,z+1/4'
'y+1/4,-x+3/4,-z+1/4'
'-x+1/2,-y,z+1/2'
'x+1/2,y,-z+1/2'
'y+1/4,-x+1/4,z+3/4'
'-y+1/4,x+1/4,-z+3/4'
'x,-y,-z'
'-x,y,z'
'-y+1/4,-x+1/4,-z+3/4'
'y+1/4,x+1/4,z+3/4'
'-x+1/2,y,-z+1/2'
'x+1/2,-y,z+1/2'
'y+1/4,x+3/4,-z+1/4'
'-y+1/4,-x+3/4,z+1/4'
'x+1/2,y+1/2,z+1/2'
'-x+1/2,-y+1/2,-z+1/2'
'-y+3/4,x+1/4,z+3/4'
'y+3/4,-x+1/4,-z+3/4'
'-x,-y+1/2,z'
'x,y+1/2,-z'
'y+3/4,-x+3/4,z+1/4'
'-y+3/4,x+3/4,-z+1/4'
'x+1/2,-y+1/2,-z+1/2'
'-x+1/2,y+1/2,z+1/2'
'-y+3/4,-x+3/4,-z+1/4'
'y+3/4,x+3/4,z+1/4'
'-x,y+1/2,-z'
'x,-y+1/2,z'
'y+3/4,x+1/4,-z+3/4'
'-y+3/4,-x+1/4,z+3/4'
loop_
_atom_site_label
_atom_site_type_symbol
_atom_site_fract_x
_atom_site_fract_y
_atom_site_fract_z
Cs1 Cs 0.000 0.250 0.375
Li1 Li 0.000 0.250 0.875
S1 S 0.000 0.000 0.000
```


Density functional theory data (PBE-GGA) for an optimized crystal structure of Cs2LiS2.

Values from the calculation:
As for the calculated volume: 886.7 Å³ per cell. For the formation energy (no corrections), the calculation gives -22.36 kcal/mol of atoms. The total energy comes out at -3.345 eV per atom.

```
data_Cs2LiS2
_cell_length_a 16.218
_cell_length_b 6.810
_cell_length_c 9.653
_cell_angle_alpha 90.00
_cell_angle_beta 123.73
_cell_angle_gamma 90.00
_space_group_name_H-M_alt 'C 1 2/m 1'
_space_group_IT_number 12
loop_
_space_group_symop_operation_xyz
'x,y,z'
'-x,-y,-z'
'-x,y,-z'
'x,-y,z'
'x+1/2,y+1/2,z'
'-x+1/2,-y+1/2,-z'
'-x+1/2,y+1/2,-z'
'x+1/2,-y+1/2,z'
loop_
_atom_site_label
_atom_site_type_symbol
_atom_site_fract_x
_atom_site_fract_y
_atom_site_fract_z
Cs1 Cs 0.036 0.000 0.268
Cs2 Cs 0.185 0.500 0.060
Li1 Li 0.159 0.500 0.658
S1 S 0.007 0.500 0.395
S2 S 0.182 0.000 0.122
```


Density functional theory data (PBE-GGA) for an optimized crystal structure of CsLiS2.

Values from the calculation:
As for the calculated volume: 432.8 Å³ per cell. For the formation energy (no corrections), the calculation gives -3.60 kcal/mol of atoms. The total energy comes out at -2.912 eV per atom.

```
data_CsLiS2
_cell_length_a 7.564
_cell_length_b 7.564
_cell_length_c 7.564
_cell_angle_alpha 90.00
_cell_angle_beta 90.00
_cell_angle_gamma 90.00
_space_group_name_H-M_alt 'F m -3 m'
_space_group_IT_number 225
_space_group_name_Hall '-F 4 2 3'
loop_
_atom_site_label
_atom_site_type_symbol
_atom_site_fract_x
_atom_site_fract_y
_atom_site_fract_z
Cs1 Cs 0.000 0.000 0.000
Li1 Li 0.000 0.000 0.500
S1 S 0.250 0.250 0.250
```


Density functional theory data (PBE-GGA) for an optimized crystal structure of CsLiS3.

Values from the calculation:
As for the calculated volume: 118.0 Å³ per cell. For the formation energy (no corrections), the calculation gives -0.39 kcal/mol of atoms. The total energy comes out at -3.047 eV per atom.

```
data_CsLiS3
_cell_length_a 4.905
_cell_length_b 4.905
_cell_length_c 4.905
_cell_angle_alpha 90.00
_cell_angle_beta 90.00
_cell_angle_gamma 90.00
_space_group_name_H-M_alt 'P m -3 m'
_space_group_IT_number 221
_space_group_name_Hall '-P 4 2 3'
loop_
_atom_site_label
_atom_site_type_symbol
_atom_site_fract_x
_atom_site_fract_y
_atom_site_fract_z
Cs1 Cs 0.000 0.000 0.000
Li1 Li 0.500 0.500 0.500
S1 S 0.000 0.500 0.500
```


Density functional theory data (PBE-GGA) for an optimized crystal structure of Cs3Li4S4.

Values from the calculation:
As for the calculated volume: 572.3 Å³ per cell. For the formation energy (no corrections), the calculation gives -23.63 kcal/mol of atoms. The total energy comes out at -3.454 eV per atom.

```
data_Cs3Li4S4
_cell_length_a 4.372
_cell_length_b 5.027
_cell_length_c 26.039
_cell_angle_alpha 90.00
_cell_angle_beta 90.00
_cell_angle_gamma 90.00
_space_group_name_H-M_alt 'I m m m'
_space_group_IT_number 71
_space_group_name_Hall '-I 2 2'
loop_
_atom_site_label
_atom_site_type_symbol
_atom_site_fract_x
_atom_site_fract_y
_atom_site_fract_z
Cs1 Cs 0.000 0.000 0.000
Cs2 Cs 0.000 0.500 0.346
Li1 Li 0.000 0.000 0.255
Li2 Li 0.000 0.500 0.105
S1 S 0.000 0.000 0.438
S2 S 0.000 0.500 0.202
```


Q: Look up the formation energy (no corrections) of the fourth one.
A: -3.60 kcal/mol of atoms